1.
A relaxed structure of Zr2V3Si. Source: Alexandria via LeMat-Bulk, functional GGA-PBE.

Structure (extended XYZ):
```
12
Lattice="-2.9345 4.0331 1.1864 -1.9431 -4.7390 0.2261 2.4827 -0.6238 8.2613" Properties=species:S:1:pos:R:3 pbc="T T T"
V -2.1419 2.3557 3.0852
V 0.6790 -1.4122 6.4802
V -0.7343 0.4212 2.5161
Zr -1.2173 0.7606 5.4808
Zr -1.1777 -2.0903 4.1930
Zr -0.2668 0.5218 8.6437
V -1.6606 -1.7508 7.1577
V -0.2531 -3.6853 6.5886
Si 0.0000 0.0000 0.0000
V -3.0739 0.0826 3.1936
Zr -2.1282 -1.8515 1.0301
Si 1.2413 -0.3119 4.1306
```

Its density of states at the Fermi level is 1.449 states/eV per atom. Its crystal system is hexagonal. The total magnetic moment is 0.00 μB/f.u. The uncorrected formation energy is -293.5 meV/atom. The theoretical density comes out at 6.13 g/cm3.

=====

2.
A relaxed structure of ZrVSi. Source: Alexandria via LeMat-Bulk, functional GGA-PBE.

Structure (extended XYZ):
```
12
Lattice="-3.1007 2.3569 3.6922 2.3864 -1.5982 3.0243 6.2923 6.7841 -1.3801" Properties=species:S:1:pos:R:3 pbc="T T T"
Si -0.6544 1.8841 4.3880
Si 1.2986 6.0753 2.1857
V -1.5552 3.7851 3.2274
Zr 0.5595 0.2328 2.5575
V 4.6921 6.0516 -0.5046
Si 0.3159 2.8125 1.2370
Zr 3.4643 7.8440 1.4114
V 2.7842 6.3780 4.0494
Zr 2.5124 4.4240 0.3553
Zr 1.5114 3.6529 3.6137
Si 4.6553 5.4055 2.0591
V 2.7392 1.8604 1.6976
```

Its density of states at the Fermi level is 0.569 states/eV per atom. Its crystal system is monoclinic. The total magnetic moment is 0.00 μB/f.u. The uncorrected formation energy is -363.3 meV/atom. The theoretical density comes out at 5.48 g/cm3.

=====

3.
A relaxed structure of ZrVSi. Source: Alexandria via LeMat-Bulk, functional GGA-PBE.

Structure (extended XYZ):
```
12
Lattice="3.6694 0.0000 0.0000 0.0000 9.9628 0.0000 0.0000 0.0000 5.4444" Properties=species:S:1:pos:R:3 pbc="T T T"
Si 1.8347 8.9373 4.0833
V 1.8347 4.9814 0.0000
V 0.0000 0.0000 2.7222
Zr 0.0000 6.8984 4.0833
Zr 1.8347 8.0458 1.3611
V 0.0000 0.0000 0.0000
Si 1.8347 1.0255 1.3611
Zr 1.8347 1.9170 4.0833
Si 0.0000 6.0069 1.3611
Si 0.0000 3.9559 4.0833
Zr 0.0000 3.0644 1.3611
V 1.8347 4.9814 2.7222
```

Its density of states at the Fermi level is 1.059 states/eV per atom. Its crystal system is orthorhombic. The total magnetic moment is 0.00 μB/f.u. The uncorrected formation energy is -613.8 meV/atom. The theoretical density comes out at 5.68 g/cm3.

=====

4.
A relaxed structure of ZrVSi. Source: Alexandria via LeMat-Bulk, functional GGA-PBE.

Structure (extended XYZ):
```
12
Lattice="-4.4799 1.2027 -2.1528 1.2989 -3.8026 -4.8274 -2.6748 -4.6686 2.9578" Properties=species:S:1:pos:R:3 pbc="T T T"
V -3.8546 -4.0586 -3.3566
V -0.9267 -0.4244 -1.3455
Si -3.1339 -0.9589 -0.0878
Zr -5.0390 -2.9198 -0.2556
V -2.3225 -2.2945 -5.5594
Si -0.8939 -1.5603 0.9885
Zr -3.4336 -1.3703 -2.7308
Zr -0.8122 -3.0882 -3.0719
V -2.0693 -3.3289 -0.5903
Si -3.8218 -5.1946 -1.0226
Zr -1.8816 -6.2073 -2.5892
Si -1.5819 -5.7959 0.0537
```

Its density of states at the Fermi level is 0.781 states/eV per atom. Its crystal system is orthorhombic. The total magnetic moment is 0.00 μB/f.u. The uncorrected formation energy is -490.0 meV/atom. The theoretical density comes out at 5.73 g/cm3.

=====

5.
A relaxed structure of ZrVSi. Source: Alexandria via LeMat-Bulk, functional GGA-PBE.

Structure (extended XYZ):
```
3
Lattice="-3.3284 -0.1655 -0.0094 0.1964 -4.0271 1.3541 -0.1663 3.1843 2.8147" Properties=species:S:1:pos:R:3 pbc="T T T"
Si -0.5550 -0.0276 -0.0016
Zr -2.2642 0.6702 2.3215
V -0.4790 -1.6509 1.8394
```

Its density of states at the Fermi level is 1.134 states/eV per atom. Its crystal system is hexagonal. The total magnetic moment is 2.17 μB/f.u. The uncorrected formation energy is -216.5 meV/atom. The theoretical density comes out at 5.41 g/cm3.

=====

6.
A relaxed structure of ZrVSi. Source: Alexandria via LeMat-Bulk, functional GGA-PBE.

Structure (extended XYZ):
```
12
Lattice="5.0456 0.0000 0.0000 0.0000 5.2396 0.0000 0.0000 0.0000 7.2711" Properties=species:S:1:pos:R:3 pbc="T T T"
V 1.2614 3.9297 1.8178
Zr 2.5228 3.9297 4.5115
Zr 2.5228 1.3099 2.7596
V 3.7842 1.3099 5.4533
Zr 0.0000 3.9297 6.3951
Si 0.0000 0.0000 3.6355
Si 2.5228 0.0000 0.0000
V 3.7842 3.9297 1.8178
Si 0.0000 2.6198 3.6355
Si 2.5228 2.6198 0.0000
Zr 0.0000 1.3099 0.8760
V 1.2614 1.3099 5.4533
```

Its density of states at the Fermi level is 1.106 states/eV per atom. Its crystal system is orthorhombic. The total magnetic moment is 0.00 μB/f.u. The uncorrected formation energy is -545.1 meV/atom. The theoretical density comes out at 5.88 g/cm3.

=====

7.
A relaxed structure of ZrVSi. Source: Alexandria via LeMat-Bulk, functional GGA-PBE.

Structure (extended XYZ):
```
12
Lattice="6.8979 0.0000 -0.0047 0.0000 3.5589 0.0000 -5.5743 0.0000 8.1275" Properties=species:S:1:pos:R:3 pbc="T T T"
Zr 1.7702 0.0000 0.6283
Zr -1.0169 1.7795 4.6920
Si 3.8797 1.7795 1.1374
Zr -0.4466 0.0000 7.4946
Si 1.0925 0.0000 5.2012
V -3.3105 0.0000 5.4866
Si 0.2311 0.0000 2.9216
V 1.8470 1.7795 6.6999
V -0.5233 1.7795 1.4229
Zr 2.3405 1.7795 3.4308
Si -2.5560 1.7795 6.9854
V 4.6341 0.0000 2.6362
```

Its density of states at the Fermi level is 0.740 states/eV per atom. Its crystal system is monoclinic. The total magnetic moment is 0.00 μB/f.u. The uncorrected formation energy is -595.4 meV/atom. The theoretical density comes out at 5.67 g/cm3.

=====

8.
A relaxed structure of ZrVSi. Source: Alexandria via LeMat-Bulk, functional GGA-PBE.

Structure (extended XYZ):
```
12
Lattice="3.2751 0.0000 0.0000 0.0000 8.1231 0.4043 -1.6375 -0.3605 8.1535" Properties=species:S:1:pos:R:3 pbc="T T T"
Si 0.0000 2.8371 5.8076
V 1.6375 2.7969 4.0273
Zr 1.6375 6.7916 1.0197
V 0.0000 0.8292 4.2662
V 1.6375 6.9334 4.2917
V 0.0000 4.9657 4.5306
Zr 0.0000 3.0600 1.6225
Si 1.6376 0.8646 2.2860
Si 1.6375 4.9255 2.7503
Zr 1.6375 4.7026 6.9354
Si 0.0000 6.8980 6.2718
Zr 0.0000 0.9709 7.5381
```

Its density of states at the Fermi level is 0.854 states/eV per atom. Its crystal system is monoclinic. The total magnetic moment is 0.00 μB/f.u. The uncorrected formation energy is -160.3 meV/atom. The theoretical density comes out at 5.20 g/cm3.

=====

9.
A relaxed structure of ZrVSi. Source: Alexandria via LeMat-Bulk, functional GGA-PBE.

Structure (extended XYZ):
```
6
Lattice="2.7368 0.0000 0.0000 0.0000 7.0014 0.0000 0.0000 0.0000 5.2892" Properties=species:S:1:pos:R:3 pbc="T T T"
Zr 1.3684 4.4265 0.4129
V 1.3684 0.0862 4.4973
Si 0.0000 1.9251 0.4197
Si 1.3684 5.0763 3.0643
Zr 0.0000 2.5749 3.0575
V 0.0000 6.9152 1.8527
```

Its density of states at the Fermi level is 0.933 states/eV per atom. Its crystal system is orthorhombic. The total magnetic moment is 0.00 μB/f.u. The uncorrected formation energy is -193.0 meV/atom. The theoretical density comes out at 5.58 g/cm3.

=====

10.
A relaxed structure of ZrV2Si2. Source: Alexandria via LeMat-Bulk, functional GGA-PBE.

Structure (extended XYZ):
```
5
Lattice="-3.1946 -3.1396 0.6453 1.0586 -0.1734 4.3964 -3.7310 1.2081 3.2751" Properties=species:S:1:pos:R:3 pbc="T T T"
Si -1.8702 -0.3109 5.0962
Zr 0.0000 0.0000 0.0000
Si -3.9968 -1.7940 3.2206
V -1.8732 -0.7904 2.7489
V -3.9938 -1.3145 5.5679
```

Its density of states at the Fermi level is 0.590 states/eV per atom. Its crystal system is tetragonal. The total magnetic moment is 0.00 μB/f.u. The uncorrected formation energy is -127.8 meV/atom. The theoretical density comes out at 5.07 g/cm3.

=====

11.
A relaxed structure of ZrVSi3. Source: Alexandria via LeMat-Bulk, functional GGA-PBE.

Structure (extended XYZ):
```
5
Lattice="-3.7956 1.2994 -1.9823 -2.2850 -3.0009 2.4080 -0.6301 3.0547 3.2088" Properties=species:S:1:pos:R:3 pbc="T T T"
Si -0.3150 1.5273 1.6044
Si -1.8978 0.6497 -0.9912
V 0.0000 0.0000 0.0000
Zr -3.3553 0.6766 1.8173
Si -1.1425 -1.5004 1.2040
```

Its density of states at the Fermi level is 0.436 states/eV per atom. Its crystal system is cubic. The total magnetic moment is 0.00 μB/f.u. The uncorrected formation energy is 287.7 meV/atom. The theoretical density comes out at 4.20 g/cm3.

=====

12.
A relaxed structure of ZrVSi3. Source: Alexandria via LeMat-Bulk, functional GGA-PBE.

Structure (extended XYZ):
```
5
Lattice="4.9831 0.0000 0.0000 0.0000 4.9831 0.0000 0.0000 0.0000 4.9831" Properties=species:S:1:pos:R:3 pbc="T T T"
Si 2.4915 0.0000 0.0000
Si 0.0000 2.4915 0.0000
Si 0.0000 0.0000 2.4915
V 2.4915 2.4915 2.4915
Zr 0.0000 0.0000 0.0000
```

Its density of states at the Fermi level is 1.091 states/eV per atom. Its crystal system is cubic. The total magnetic moment is 3.28 μB/f.u. The uncorrected formation energy is 1124.1 meV/atom. The theoretical density comes out at 3.04 g/cm3.